# 1
A plane-wave DFT calculation with PBE-GGA was carried out for NpAlIr after structural relaxation.

Geometry as extended XYZ:
```
3
Lattice="2.973 0.000 0.000 0.000 2.973 0.000 -1.486 -1.486 5.987" Properties=species:S:1:pos:R:3 pbc="T T T"
Np 0.000 0.000 0.090
Ir 1.486 1.486 2.214
Al 0.000 0.000 3.683
```

The energy of formation is -408 meV/atom. The magnetization comes out at 3.57 μB per formula unit. As for the calculated density: 14.319 g cm⁻³.

# 2
A plane-wave DFT calculation with PBE-GGA was carried out for NpAl4Ir2 after structural relaxation.

Geometry as extended XYZ:
```
28
Lattice="4.234 0.000 0.000 0.000 6.692 0.000 0.000 0.000 17.061" Properties=species:S:1:pos:R:3 pbc="T T T"
Np 3.175 6.435 10.866
Np 1.058 0.258 6.196
Np 1.058 3.088 14.727
Np 3.175 3.604 2.335
Ir 1.058 5.078 9.243
Ir 3.175 1.615 7.819
Ir 3.175 1.732 16.349
Ir 1.058 4.961 0.712
Ir 1.058 6.330 13.338
Ir 3.175 0.362 3.724
Ir 3.175 2.984 12.255
Ir 1.058 3.708 4.807
Al 1.058 1.661 11.833
Al 3.175 5.032 5.228
Al 3.175 5.007 13.759
Al 1.058 1.686 3.302
Al 1.058 4.332 11.718
Al 3.175 2.361 5.344
Al 3.175 0.985 13.874
Al 1.058 5.707 3.187
Al 1.058 1.052 9.130
Al 3.175 5.640 7.932
Al 3.175 4.398 16.462
Al 1.058 2.294 0.599
Al 1.058 3.362 7.335
Al 3.175 3.331 9.727
Al 3.175 0.016 1.196
Al 1.058 6.677 15.865
```

The energy of formation is -576 meV/atom. The magnetization comes out at 3.60 μB per formula unit. As for the calculated density: 10.021 g cm⁻³.